1.
12
Lattice="-1.312 -4.615 -1.646 -0.972 -1.379 4.781 -6.494 2.101 -0.714" Properties=species:S:1:pos:R:3 comment="PBE Y2ReBiO8, optimized geometry" space_group="Cmmm (65)" e_tot_ev_per_atom=-8.035 volume_a3_per_atom=14.707 raw_formation_energy_ev_per_atom=-2.291 dos_ef_per_ev_cell=0.3 pbc="T T T"
Y -6.013 -1.421 1.032
Y -2.765 -2.472 1.389
Re 0.000 0.000 0.000
Bi -3.247 1.051 -0.357
O -2.355 -1.542 3.463
O -1.675 -4.394 2.298
O -2.571 -3.598 -0.619
O -6.424 -2.351 -1.042
O -0.610 -1.600 0.837
O -6.207 -0.295 3.039
O -4.817 -3.069 1.800
O -3.961 -0.823 0.621

***

2.
27
Lattice="-2.967 -0.092 3.663 5.666 -5.949 4.440 1.095 9.206 1.119" Properties=species:S:1:pos:R:3 comment="PBE BiRh2O6, optimized geometry" space_group="P-3m1 (164)" e_tot_ev_per_atom=-6.154 volume_a3_per_atom=13.188 raw_formation_energy_ev_per_atom=-0.784 dos_ef_per_ev_cell=16.4 pbc="T T T"
Bi 2.647 -0.944 5.178
Bi 1.146 4.109 4.043
Bi 0.000 0.000 0.000
Rh 0.371 3.117 0.379
Rh 4.472 2.154 3.676
Rh 1.918 -2.014 1.503
Rh 0.724 6.089 0.740
Rh 2.289 1.103 1.882
Rh 3.748 -3.935 2.937
O 4.989 -1.251 5.410
O 2.489 -2.455 3.355
O 2.894 0.949 3.768
O 0.899 2.215 5.453
O 1.304 5.620 5.867
O -1.196 4.415 3.811
O 0.317 -0.645 4.994
O 2.767 0.536 7.008
O 2.370 -2.800 6.603
O 2.925 3.512 7.209
O -1.367 1.445 3.681
O -0.672 7.289 4.391
O 4.465 -4.124 4.831
O 5.160 1.720 5.541
O 0.868 -0.348 2.012
O 3.476 3.809 4.227
O 1.026 2.629 2.213
O 1.423 5.965 2.619

***

3.
9
Lattice="-4.431 1.196 1.766 -2.169 -0.492 -5.109 0.162 -4.415 3.395" Properties=species:S:1:pos:R:3 comment="PBE BiRh2O6, optimized geometry" space_group="P-31m (162)" e_tot_ev_per_atom=-6.111 volume_a3_per_atom=14.693 raw_formation_energy_ev_per_atom=-0.741 dos_ef_per_ev_cell=5.9 pbc="T T T"
Bi -2.216 0.598 0.883
Rh -3.608 -1.202 -1.391
Rh -2.831 -2.510 1.443
O -2.616 -2.779 -0.565
O -1.274 -1.232 1.755
O -1.952 -4.233 2.084
O -3.823 -0.933 0.617
O -5.165 -2.479 -1.703
O -4.486 0.522 -2.032

***

4.
5
Lattice="5.271 0.000 0.000 0.000 5.271 0.000 0.000 0.000 5.271" Properties=species:S:1:pos:R:3 comment="PBE Bi3RhO, optimized geometry" space_group="Pm-3m (221)" e_tot_ev_per_atom=-4.146 volume_a3_per_atom=29.293 raw_formation_energy_ev_per_atom=0.645 dos_ef_per_ev_cell=4.0 pbc="T T T"
Rh 0.000 0.000 0.000
Bi 0.000 2.636 0.000
Bi 0.000 0.000 2.636
Bi 2.636 0.000 0.000
O 2.636 2.636 2.636

***

5.
22
Lattice="-4.579 0.161 5.750 -3.354 -6.161 2.202 1.944 -3.181 6.338" Properties=species:S:1:pos:R:3 comment="PBE Bi2Rh2O7, optimized geometry" space_group="Fd-3m (227)" e_tot_ev_per_atom=-6.213 volume_a3_per_atom=12.775 raw_formation_energy_ev_per_atom=-1.016 dos_ef_per_ev_cell=15.5 pbc="T T T"
Bi -0.749 -1.148 1.786
Bi -2.426 -4.228 2.887
Bi -3.038 -1.067 4.661
Bi 0.223 -2.738 4.955
Rh -3.744 -5.738 8.931
Rh -4.716 -4.148 5.762
Rh -1.454 -5.818 6.056
Rh -2.067 -2.657 7.830
O -1.497 -2.295 3.572
O -3.144 -5.241 5.096
O -6.539 -7.470 11.052
O -4.641 -7.537 8.668
O -5.042 -5.175 7.479
O -5.149 -4.916 10.139
O -2.846 -3.939 9.193
O -0.948 -4.006 6.810
O -3.652 -2.621 6.567
O -2.338 -6.559 7.723
O -4.344 -6.235 12.766
O -2.446 -6.301 10.383
O 0.000 0.000 0.000
O -3.836 -8.855 11.295

***

6.
26
Lattice="-1.896 -4.455 -4.100 1.262 -1.558 6.019 -10.085 1.895 2.605" Properties=species:S:1:pos:R:3 comment="PBE Bi2Rh3O8, optimized geometry" space_group="P6_3mc (186)" e_tot_ev_per_atom=-6.190 volume_a3_per_atom=14.195 raw_formation_energy_ev_per_atom=-0.845 dos_ef_per_ev_cell=16.6 pbc="T T T"
Bi -1.275 -3.409 -0.615
Bi -5.264 -1.496 4.060
Bi -5.150 -2.680 0.386
Bi -9.140 -0.767 5.061
Rh -2.682 -3.834 2.914
Rh -8.884 -2.570 -0.501
Rh -2.360 -0.779 1.938
Rh -8.243 -3.361 2.556
Rh -7.921 -0.307 1.581
Rh -1.719 -1.571 4.996
O -2.905 -3.727 -2.150
O -6.783 -3.167 3.946
O -6.442 0.059 2.916
O -2.228 -4.563 1.080
O -1.888 -1.336 0.050
O -5.765 -0.777 6.145
O -8.977 -1.451 2.974
O -2.973 -0.325 3.883
O -3.252 -2.964 4.725
O -9.531 -0.767 0.332
O -3.407 0.640 0.880
O -8.449 1.588 2.182
O -1.315 -2.238 3.040
O -9.809 -3.406 1.175
O -3.806 -2.280 2.084
O -7.410 -2.256 0.969

***

7.
13
Lattice="-5.251 -3.357 0.484 0.289 -6.050 1.543 -2.010 -1.831 5.857" Properties=species:S:1:pos:R:3 comment="PBE BiRh4O8, optimized geometry" space_group="R-3m (166)" e_tot_ev_per_atom=-6.319 volume_a3_per_atom=13.939 raw_formation_energy_ev_per_atom=-0.707 dos_ef_per_ev_cell=5.2 pbc="T T T"
Bi -3.486 -5.619 3.942
Rh 0.145 -3.025 0.772
Rh -2.481 -4.703 1.013
Rh -2.625 -1.678 0.242
Rh 0.000 0.000 0.000
O -5.375 -5.329 5.433
O -4.338 -4.576 1.927
O -1.597 -5.909 2.452
O -4.195 -7.570 2.691
O -5.257 -8.325 6.325
O -1.715 -2.913 1.560
O -2.777 -3.668 5.193
O -2.633 -6.662 5.957

***

8.
32
Lattice="-1.260 -3.202 1.703 0.019 -3.696 -6.937 14.741 -4.503 2.440" Properties=species:S:1:pos:R:3 comment="PBE Bi2RhO5, optimized geometry" space_group="Pnma (62)" e_tot_ev_per_atom=-5.969 volume_a3_per_atom=14.717 raw_formation_energy_ev_per_atom=-0.981 dos_ef_per_ev_cell=10.1 pbc="T T T"
Bi 5.288 -5.675 -0.267
Bi 10.062 -6.950 0.868
Bi 3.318 -2.569 -0.212
Bi 13.284 -5.430 1.782
Bi 0.216 -5.971 -4.576
Bi 10.182 -8.832 -2.582
Bi 3.439 -4.451 -3.662
Bi 8.212 -5.726 -2.527
Rh 0.059 -4.236 -1.429
Rh 8.053 -3.674 1.213
Rh 5.448 -7.727 -4.007
Rh 13.442 -7.166 -1.365
O 4.604 -3.890 -1.744
O 0.357 -2.624 -2.506
O 12.280 -6.029 -0.087
O 7.142 -4.214 -0.476
O 1.680 -4.219 -0.198
O 9.679 -4.683 0.520
O -0.861 -3.137 -0.043
O 4.275 -4.460 1.269
O 7.091 -5.083 2.180
O 11.338 -6.412 2.824
O 2.163 -4.989 -5.618
O 6.410 -6.318 -4.974
O 9.226 -6.941 -4.063
O 14.361 -8.264 -2.751
O 3.821 -6.718 -3.314
O 11.821 -7.182 -2.596
O 6.358 -7.187 -2.318
O 1.220 -5.372 -2.707
O 13.144 -8.777 -0.288
O 8.896 -7.512 -1.050

***

9.
5
Lattice="5.042 0.000 0.000 0.000 5.042 0.000 0.000 0.000 5.042" Properties=species:S:1:pos:R:3 comment="PBE BiRh3O, optimized geometry" space_group="Pm-3m (221)" e_tot_ev_per_atom=-4.340 volume_a3_per_atom=25.638 raw_formation_energy_ev_per_atom=1.839 dos_ef_per_ev_cell=12.1 pbc="T T T"
Rh 0.000 2.521 0.000
Rh 0.000 0.000 2.521
Rh 2.521 0.000 0.000
Bi 0.000 0.000 0.000
O 2.521 2.521 2.521

***

10.
5
Lattice="-0.808 -2.531 4.028 -0.884 -3.935 -2.649 4.674 -1.182 0.195" Properties=species:S:1:pos:R:3 comment="PBE Bi3RhO, optimized geometry" space_group="Pm-3m (221)" e_tot_ev_per_atom=-4.788 volume_a3_per_atom=22.469 raw_formation_energy_ev_per_atom=0.003 dos_ef_per_ev_cell=1.7 pbc="T T T"
Rh 1.491 -3.824 0.787
Bi -0.442 -1.967 -1.325
Bi 2.337 -0.591 0.097
Bi -0.404 -1.265 2.014
O 0.000 0.000 0.000

***

11.
24
Lattice="-0.124 -3.262 -5.249 4.965 -0.244 3.673 -3.969 -7.666 4.857" Properties=species:S:1:pos:R:3 comment="PBE BiRh3O8, optimized geometry" space_group="P6_3mc (186)" e_tot_ev_per_atom=-6.194 volume_a3_per_atom=13.658 raw_formation_energy_ev_per_atom=-0.727 dos_ef_per_ev_cell=18.2 pbc="T T T"
Bi -2.390 -9.910 2.574
Bi 1.291 -5.070 3.120
Rh 0.351 -8.348 1.539
Rh -2.039 -6.618 2.317
Rh -2.100 -8.228 -0.274
Rh 3.256 -2.396 3.208
Rh 3.195 -4.006 0.617
Rh 0.805 -2.276 1.395
O 2.926 -3.766 -1.368
O -0.939 -8.123 3.059
O -0.863 -6.960 0.706
O -3.198 -6.176 3.913
O -1.213 -2.343 1.485
O 0.286 -1.855 -0.509
O -0.994 -9.583 0.709
O -3.162 -8.014 1.414
O 1.780 -5.364 5.275
O 0.218 -3.634 -3.371
O 3.447 -4.293 2.586
O 1.279 -2.724 3.292
O 2.818 -2.121 1.251
O 1.712 -7.142 2.413
O 1.223 -4.184 0.941
O -0.928 -5.231 3.272

***

12.
65
Lattice="-3.665 6.096 1.703 -5.006 -5.104 7.500 12.219 2.251 2.529" Properties=species:S:1:pos:R:3 comment="PBE Bi12Rh12O41, optimized geometry" space_group="Imm2 (44)" e_tot_ev_per_atom=-6.213 volume_a3_per_atom=12.801 raw_formation_energy_ev_per_atom=-1.012 dos_ef_per_ev_cell=33.2 pbc="T T T"
Bi 2.278 2.777 10.668
Bi -3.927 1.640 9.263
Bi -2.089 -1.418 8.409
Bi 6.597 2.321 5.886
Bi 3.868 1.325 3.579
Bi 1.200 0.395 1.169
Bi -3.969 3.387 3.084
Bi 3.112 2.086 7.107
Bi -2.093 0.265 2.212
Bi 4.950 -0.972 6.252
Bi -2.981 0.991 5.745
Bi -0.387 1.849 8.254
Rh 4.063 -0.260 9.673
Rh 5.585 4.612 3.306
Rh 7.404 1.585 2.460
Rh -0.501 3.516 2.039
Rh 2.102 4.416 4.419
Rh 4.742 5.337 6.805
Rh 0.453 1.169 4.696
Rh -1.367 4.197 5.542
Rh -1.199 -2.100 4.936
Rh 1.439 -1.181 7.325
Rh -6.488 0.757 6.881
Rh -4.657 -2.289 6.030
O 5.691 -0.836 8.605
O 4.144 1.739 9.324
O 3.176 -0.290 7.874
O 0.266 -0.479 8.818
O -2.353 0.769 7.890
O 7.458 5.388 3.263
O 1.790 -3.015 8.110
O 8.975 2.864 2.557
O 5.101 6.580 3.126
O -4.156 -4.238 6.227
O 6.085 2.677 3.510
O 3.046 1.433 1.425
O 8.078 1.099 4.321
O -4.355 -2.329 8.041
O 2.183 6.399 4.044
O -5.903 0.245 8.760
O 5.948 4.642 5.311
O 3.710 3.857 3.334
O 1.215 4.393 2.595
O 3.005 4.454 6.227
O -2.252 2.620 1.480
O 7.234 -0.050 6.574
O 2.017 2.431 4.810
O 0.492 4.967 5.518
O 5.094 3.510 7.568
O -1.663 4.217 3.535
O -0.146 1.693 2.830
O 4.656 1.205 5.708
O 1.774 0.054 3.622
O -0.877 2.258 5.736
O -3.579 1.267 3.468
O 1.609 2.939 8.649
O -1.128 -0.103 4.516
O 2.602 -1.896 5.836
O -3.258 3.441 5.506
O 1.074 0.646 6.546
O -2.094 -2.136 3.138
O -0.289 -2.060 6.753
O -4.931 2.024 7.023
O -2.791 -1.537 6.029
O -5.160 -0.345 5.837

***

Copy entry 1 word for word.
12
Lattice="-1.312 -4.615 -1.646 -0.972 -1.379 4.781 -6.494 2.101 -0.714" Properties=species:S:1:pos:R:3 comment="PBE Y2ReBiO8, optimized geometry" space_group="Cmmm (65)" e_tot_ev_per_atom=-8.035 volume_a3_per_atom=14.707 raw_formation_energy_ev_per_atom=-2.291 dos_ef_per_ev_cell=0.3 pbc="T T T"
Y -6.013 -1.421 1.032
Y -2.765 -2.472 1.389
Re 0.000 0.000 0.000
Bi -3.247 1.051 -0.357
O -2.355 -1.542 3.463
O -1.675 -4.394 2.298
O -2.571 -3.598 -0.619
O -6.424 -2.351 -1.042
O -0.610 -1.600 0.837
O -6.207 -0.295 3.039
O -4.817 -3.069 1.800
O -3.961 -0.823 0.621

***

Repeat the fifth record exactly.
22
Lattice="-4.579 0.161 5.750 -3.354 -6.161 2.202 1.944 -3.181 6.338" Properties=species:S:1:pos:R:3 comment="PBE Bi2Rh2O7, optimized geometry" space_group="Fd-3m (227)" e_tot_ev_per_atom=-6.213 volume_a3_per_atom=12.775 raw_formation_energy_ev_per_atom=-1.016 dos_ef_per_ev_cell=15.5 pbc="T T T"
Bi -0.749 -1.148 1.786
Bi -2.426 -4.228 2.887
Bi -3.038 -1.067 4.661
Bi 0.223 -2.738 4.955
Rh -3.744 -5.738 8.931
Rh -4.716 -4.148 5.762
Rh -1.454 -5.818 6.056
Rh -2.067 -2.657 7.830
O -1.497 -2.295 3.572
O -3.144 -5.241 5.096
O -6.539 -7.470 11.052
O -4.641 -7.537 8.668
O -5.042 -5.175 7.479
O -5.149 -4.916 10.139
O -2.846 -3.939 9.193
O -0.948 -4.006 6.810
O -3.652 -2.621 6.567
O -2.338 -6.559 7.723
O -4.344 -6.235 12.766
O -2.446 -6.301 10.383
O 0.000 0.000 0.000
O -3.836 -8.855 11.295

***

Number 11 is which compound? BiRh3O8